Record 1
Material: TaSiSe
Method: DFT, meta-GGA SCAN
State: PBEsol geometry

a = 6.1819 Å, b = 6.1819 Å, c = 6.1819 Å
α = 90.00°, β = 90.00°, γ = 90.00°
With the nearest neighbours (Å) after each atom.
Element x y z (fractional)
Ta1 0.0000 0.0000 0.0000  4 Si 2.68, 4 Se 2.68
Ta2 0.0000 0.5000 0.5000  4 Se 2.68, 4 Si 2.68
Ta3 0.5000 0.0000 0.5000  4 Se 2.68, 4 Si 2.68
Ta4 0.5000 0.5000 0.0000  4 Se 2.68, 4 Si 2.68
Si1 0.2500 0.2500 0.7500  4 Ta 2.68
Si2 0.2500 0.7500 0.2500  4 Ta 2.68
Si3 0.7500 0.2500 0.2500  4 Ta 2.68
Si4 0.7500 0.7500 0.7500  4 Ta 2.68
Se1 0.2500 0.2500 0.2500  4 Ta 2.68
Se2 0.2500 0.7500 0.7500  4 Ta 2.68
Se3 0.7500 0.2500 0.7500  4 Ta 2.68
Se4 0.7500 0.7500 0.2500  4 Ta 2.68

Summary:
For the uncorrected formation energy, the calculation gives 0.400 eV per atom. Its space group is F-43m (216).

***

Record 2
Material: Ta11Si2Se8
Method: DFT, meta-GGA SCAN
State: PBEsol geometry

a = 11.8146 Å, b = 19.3220 Å, c = 3.4452 Å
α = 90.00°, β = 90.00°, γ = 90.00°
With the nearest neighbours (Å) after each atom.
Element x y z (fractional)
Ta1 0.0000 0.0000 0.0000  2 Si 2.70, 2 Se 2.77, 8 Ta 2.87-2.89
Ta2 0.0518 0.2421 0.0000  4 Se 2.62-2.68, 1 Si 2.77
Ta3 0.0664 0.1132 0.5000  2 Si 2.55, 3 Se 2.63-2.69
Ta4 0.1595 0.7858 0.5000  2 Si 2.53, 3 Se 2.61-2.66
Ta5 0.1791 0.3552 0.5000  4 Se 2.60-2.80, 1 Si 2.74, 2 Ta 2.90
Ta6 0.1788 0.9528 0.5000  3 Se 2.53-2.68, 2 Si 2.55
Ta7 0.3212 0.4528 0.0000  3 Se 2.53-2.68, 2 Si 2.55
Ta8 0.3209 0.8552 0.0000  4 Se 2.60-2.80, 1 Si 2.74, 2 Ta 2.90
Ta9 0.3405 0.2858 0.0000  2 Si 2.53, 3 Se 2.61-2.66
Ta10 0.4336 0.6132 0.0000  2 Si 2.55, 3 Se 2.63-2.69
Ta11 0.4482 0.7421 0.5000  4 Se 2.62-2.68, 1 Si 2.77
Ta12 0.5000 0.5000 0.5000  2 Si 2.70, 2 Se 2.77, 8 Ta 2.87-2.89
Ta13 0.5518 0.2579 0.5000  4 Se 2.62-2.68, 1 Si 2.77
Ta14 0.5664 0.3868 0.0000  2 Si 2.55, 3 Se 2.63-2.69
Ta15 0.6595 0.7142 0.0000  2 Si 2.53, 3 Se 2.61-2.66
Ta16 0.6791 0.1448 0.0000  4 Se 2.60-2.80, 1 Si 2.74, 2 Ta 2.90
Ta17 0.6788 0.5472 0.0000  3 Se 2.53-2.68, 2 Si 2.55
Ta18 0.8212 0.0472 0.5000  3 Se 2.53-2.68, 2 Si 2.55
Ta19 0.8209 0.6448 0.5000  4 Se 2.60-2.80, 1 Si 2.74, 2 Ta 2.90
Ta20 0.8405 0.2142 0.5000  2 Si 2.53, 3 Se 2.61-2.66
Ta21 0.9336 0.8868 0.5000  2 Si 2.55, 3 Se 2.63-2.69
Ta22 0.9482 0.7579 0.0000  4 Se 2.62-2.68, 1 Si 2.77
Si1 0.0909 0.8718 0.0000  9 Ta 2.53-2.77
Si2 0.4091 0.3718 0.5000  9 Ta 2.53-2.77
Si3 0.5909 0.6282 0.5000  9 Ta 2.53-2.77
Si4 0.9091 0.1282 0.0000  9 Ta 2.53-2.77
Se1 0.0389 0.6724 0.5000  4 Ta 2.61-2.63
Se2 0.1071 0.4459 0.0000  3 Ta 2.53-2.60
Se3 0.2149 0.0571 0.0000  5 Ta 2.68-2.77
Se4 0.2184 0.2124 0.5000  6 Ta 2.63-2.80
Se5 0.2816 0.7124 0.0000  6 Ta 2.63-2.80
Se6 0.2851 0.5571 0.5000  5 Ta 2.68-2.77
Se7 0.3929 0.9459 0.5000  3 Ta 2.53-2.60
Se8 0.4611 0.1724 0.0000  4 Ta 2.61-2.63
Se9 0.5389 0.8276 0.0000  4 Ta 2.61-2.63
Se10 0.6071 0.0541 0.5000  3 Ta 2.53-2.60
Se11 0.7149 0.4429 0.5000  5 Ta 2.68-2.77
Se12 0.7184 0.2876 0.0000  6 Ta 2.63-2.80
Se13 0.7816 0.7876 0.5000  6 Ta 2.63-2.80
Se14 0.7851 0.9429 0.0000  5 Ta 2.68-2.77
Se15 0.8929 0.5541 0.0000  3 Ta 2.53-2.60
Se16 0.9611 0.3276 0.5000  4 Ta 2.61-2.63

Summary:
For the uncorrected formation energy, the calculation gives -0.704 eV per atom. Its space group is Pnnm (58).